Density functional theory data (SCAN) for MgSc2 at its PBEsol-relaxed geometry.

Cell: 3.213 3.213 7.897 Å, 90.00 90.00 120.00°
Fractional coordinates of all 3 atoms:
Mg: 0.000 0.000 0.000
Sc: 0.333 0.667 0.337
Sc: 0.667 0.333 0.663

Results
Energy of formation from the pure elements   -9 meV per atom
Symmetry   P-3m1, No. 164